--- 1 ---
Entry from Alexandria: a relaxed YAlC crystal (PBE-GGA).

The value obtained for the total magnetization is 0.00 μB per formula unit. As for the density of states at the Fermi level: 1.2 states/eV/f.u.

The space group is Pnma (No. 62) and the conventional cell measures 8.537, 4.791 and 5.178 Å, with angles of 90.00, 90.00 and 90.00 degrees. Symmetry generates all atoms from Y at (0.153, 0.250, 0.016), Al at (0.000, 0.000, 0.500) and C at (0.103, 0.750, 0.224).

=====

--- 2 ---
Entry from Alexandria: a relaxed YAlC crystal (PBE-GGA).

The value obtained for the total magnetization is 0.00 μB per formula unit.

The space group is P3m1 (No. 156) and the conventional cell measures 3.4385, 3.4385 and 4.9727 Å, with angles of 90.00, 90.00 and 120.00 degrees. Symmetry generates all atoms from Y at (0.0000, 0.0000, 0.0000), Al at (0.6667, 0.3333, 0.4654) and C at (0.3333, 0.6667, 0.2828).

=====

Energies relative to the minimum, meV/atom: 1 274; 2 0